#a
Below is an optimized crystal structure of SmBePd, with properties calculated at the PBE-GGA level.

a = 4.1136 Å, b = 4.1136 Å, c = 3.9358 Å
α = 90.00°, β = 90.00°, γ = 120.00°
Space group P-6m2 (No. 187)
Asymmetric unit:
Sm1 0.0000 0.0000 0.0000 [1 per cell]
Be1 0.3333 0.6667 0.5000 [1 per cell]
Pd1 0.6667 0.3333 0.5000 [1 per cell]

Results
Total moment: 0.0 μB per cell



#b
Below is an optimized crystal structure of SmBePd, with properties calculated at the PBE-GGA level.

a = 3.9139 Å, b = 10.5136 Å, c = 5.3587 Å
α = 90.00°, β = 90.00°, γ = 90.00°
Space group Cmcm (No. 63)
Asymmetric unit:
Sm1 0.0000 0.2123 0.2500 [4 per cell]
Be1 0.0000 0.5000 0.0000 [4 per cell]
Pd1 0.0000 0.0635 0.7500 [4 per cell]

Results
Total moment: 0.0 μB per cell



Least stable: #b



#a
Below is an optimized crystal structure of Sr2BePd, with properties calculated at the PBE-GGA level.

a = 8.1746 Å, b = 8.1746 Å, c = 7.1840 Å
α = 90.00°, β = 90.00°, γ = 90.00°
Space group I-42d (No. 122)
Asymmetric unit:
Sr1 0.2375 0.2500 0.1250 [8 per cell]
Be1 0.0000 0.0000 0.5000 [4 per cell]
Pd1 0.0000 0.0000 0.0000 [4 per cell]

Results
Total moment: 0.0 μB per cell



#b
Below is an optimized crystal structure of Sr2BePd, with properties calculated at the PBE-GGA level.

a = 7.4991 Å, b = 7.4991 Å, c = 7.4991 Å
α = 90.00°, β = 90.00°, γ = 90.00°
Space group Fm-3m (No. 225)
Asymmetric unit:
Sr1 0.2500 0.2500 0.2500 [8 per cell]
Be1 0.0000 0.0000 0.0000 [4 per cell]
Pd1 0.0000 0.0000 0.5000 [4 per cell]

Results
Total moment: 0.0 μB per cell



Least stable: #a



#a
Below is an optimized crystal structure of SrBe2Pd, with properties calculated at the PBE-GGA level.

a = 4.6509 Å, b = 4.6509 Å, c = 15.3104 Å
α = 90.00°, β = 90.00°, γ = 90.00°
Space group I4_1/amd (No. 141, origin choice 2)
Asymmetric unit:
Sr1 0.0000 0.2500 0.3750 [4 per cell]
Be1 0.0000 0.0000 0.0000 [8 per cell]
Pd1 0.0000 0.2500 0.8750 [4 per cell]

Results
Total moment: 0.0 μB per cell



#b
Below is an optimized crystal structure of SrBe2Pd, with properties calculated at the PBE-GGA level.

a = 6.4889 Å, b = 6.4889 Å, c = 6.4889 Å
α = 90.00°, β = 90.00°, γ = 90.00°
Space group Fm-3m (No. 225)
Asymmetric unit:
Sr1 0.0000 0.0000 0.0000 [4 per cell]
Be1 0.2500 0.2500 0.2500 [8 per cell]
Pd1 0.0000 0.0000 0.5000 [4 per cell]

Results
Total moment: 0.0 μB per cell



Least stable: #b



#a
Below is an optimized crystal structure of SrBe2Pd2, with properties calculated at the PBE-GGA level.

a = 4.1121 Å, b = 4.1121 Å, c = 10.3067 Å
α = 90.00°, β = 90.00°, γ = 90.00°
Space group I4/mmm (No. 139)
Asymmetric unit:
Sr1 0.0000 0.0000 0.0000 [2 per cell]
Be1 0.0000 0.0000 0.3525 [4 per cell]
Pd1 0.0000 0.5000 0.2500 [4 per cell]

Results
Total moment: 0.0 μB per cell



#b
Below is an optimized crystal structure of SrBe2Pd2, with properties calculated at the PBE-GGA level.

a = 7.4154 Å, b = 7.4154 Å, c = 2.9214 Å
α = 90.00°, β = 90.00°, γ = 90.00°
Space group P4/mbm (No. 127)
Asymmetric unit:
Sr1 0.0000 0.0000 0.0000 [2 per cell]
Be1 0.1176 0.3824 0.5000 [4 per cell]
Pd1 0.1438 0.6438 0.0000 [4 per cell]

Results
Total moment: 0.0 μB per cell



#c
Below is an optimized crystal structure of SrBe2Pd2, with properties calculated at the PBE-GGA level.

a = 7.2813 Å, b = 7.2813 Å, c = 2.9686 Å
α = 90.00°, β = 90.00°, γ = 90.00°
Space group P4/mbm (No. 127)
Asymmetric unit:
Sr1 0.0000 0.0000 0.0000 [2 per cell]
Be1 0.1088 0.3912 0.0000 [4 per cell]
Pd1 0.1558 0.6558 0.5000 [4 per cell]

Results
Total moment: 0.0 μB per cell



Least stable: #b